The following is a DFT calculation (PBE-GGA) of a relaxed Be2PtCl crystal.

```
data_Be2PtCl
_cell_length_a 4.241
_cell_length_b 4.241
_cell_length_c 4.241
_cell_angle_alpha 60.00
_cell_angle_beta 60.00
_cell_angle_gamma 60.00
_symmetry_space_group_name_H-M 'P 1'
_symmetry_Int_Tables_number 1
loop_
_symmetry_equiv_pos_as_xyz
'x,y,z'
loop_
_atom_site_label
_atom_site_fract_x
_atom_site_fract_y
_atom_site_fract_z
Be1 0.750 0.750 0.750
Be2 0.250 0.250 0.250
Pt1 0.500 0.500 0.500
Cl1 0.000 0.000 0.000
```

formation energy from raw total energies	0.4287	eV/atom
space group	Fm-3m
E above lowest polymorph	966	meV/atom
spin magnetization	0.000	μB/cell